4
Lattice="4.122 0.000 0.000 0.000 4.122 0.000 0.000 0.000 3.567" Properties=species:S:1:pos:R:3 comment="GGA-PBE ScCrCu2, optimized geometry" spacegroup="No. 123" dos_ef_per_ev_fu=1.5 volume_a3_per_atom=15.16 ef_mev_per_atom=58 density_g_cm3=6.137 polymorph_energy_ev_per_atom=0.016 pbc="T T T"
Sc 0.000 0.000 0.000
Cr 2.061 2.061 0.000
Cu 0.000 2.061 1.784
Cu 2.061 0.000 1.784